First-principles (SCAN) data for a PBEsol-optimized structure of LaMn2Be, as listed in Alexandria.

- excess energy over the best structure of this formula in the dataset (meV per atom) = 84
- magnetization (μB/cell) = 5.8
- ΔH_f (0 K) (eV/f.u.) = 0.4
- ρ (Mg/m³) = 6.42
- final energy (eV per atom) = -20.887

```
LaMn2Be
1.0
1.9545 1.1284 5.0366
-1.9545 1.1284 5.0366
0.0000 -2.2569 5.0366
La Mn Be
1 2 1
direct
0.0000 0.0000 0.0000 La
0.2020 0.2020 0.2020 Mn
0.7980 0.7980 0.7980 Mn
0.5000 0.5000 0.5000 Be
```